Record 1
First-principles (GGA-PBE) data for a relaxed structure of DyScZn2Au4, as listed in the Alexandria database.

The space group is R-3m (No. 166, hexagonal axes) and the conventional cell measures 4.7447, 4.7447 and 23.2694 Å, with angles of 90.00, 90.00 and 120.00 degrees. The inequivalent atoms are Dy at (0.0000, 0.0000, 0.0000), Sc at (0.0000, 0.0000, 0.5000), Zn at (0.0000, 0.0000, 0.2501), Au at (0.0000, 0.0000, 0.1303) and Au at (0.0000, 0.0000, 0.3803).

The formation energy comes out at -0.622 eV/atom.


Record 2
First-principles (GGA-PBE) data for a relaxed structure of PrGdAs, as listed in the Alexandria database.

The space group is P3m1 (No. 156) and the conventional cell measures 4.0710, 4.0710 and 6.6281 Å, with angles of 90.00, 90.00 and 120.00 degrees. The inequivalent atoms are Pr at (0.0000, 0.0000, 0.0000), Gd at (0.6667, 0.3333, 0.5213) and As at (0.3333, 0.6667, 0.2727).

The formation energy comes out at -0.874 eV/atom.


Which value of formation energy does entry 2 give? -0.874 eV/atom